Density functional theory data (GGA-PBE) for an optimized crystal structure of Li6CuS4.

Output
As for the final energy: -3.957 eV/atom. Its space group is Imm2 (44). Its formation energy (no corrections) is -1.04 eV/atom. The value obtained for the density of states at the Fermi level is 3.3 states/eV per cell. The total magnetization is 0.00 Bohr magnetons per cell.

The structure in extended XYZ format:
```
11
Lattice="7.708 0.005 0.024 3.496 6.869 -0.024 -4.331 -5.508 3.211" Properties=species:S:1:pos:R:3 pbc="T T T"
Li 2.295 -0.782 0.935
Li 5.552 -0.099 1.497
Li 3.789 1.710 0.263
Li 7.963 4.271 0.263
Li 1.070 1.875 1.473
Li 3.154 4.469 0.911
Cu 2.439 -3.975 2.337
S 0.091 -0.148 0.087
S 3.244 0.913 2.454
S -2.284 -2.479 2.454
S 5.717 3.250 0.110
```

=====

Density functional theory data (GGA-PBE) for an optimized crystal structure of NaBiIN2.

Output
As for the final energy: -2.980 eV/atom. Its space group is P4/mmm (123). Its formation energy (no corrections) is 1.70 eV/atom. The value obtained for the density of states at the Fermi level is 3.8 states/eV per cell. The total magnetization is 3.66 Bohr magnetons per cell.

The structure in extended XYZ format:
```
5
Lattice="-2.932 3.547 -1.004 0.462 -0.920 -4.596 -4.551 -3.683 0.279" Properties=species:S:1:pos:R:3 pbc="T T T"
I -2.275 -1.841 0.140
Na 0.000 0.000 0.000
Bi -3.510 -0.528 -2.661
N 0.231 -0.460 -2.298
N -1.466 1.773 -0.502
```

=====

Density functional theory data (GGA-PBE) for an optimized crystal structure of Ba3Ga2Pb4.

Output
As for the final energy: -3.402 eV/atom. Its space group is C2/m (12). The value obtained for the density of states at the Fermi level is 4.5 states/eV per cell. The total magnetization is 0.00 Bohr magnetons per cell. The calculation puts the formation energy at -0.440 eV/atom.

The structure in extended XYZ format:
```
9
Lattice="4.703 0.000 1.254 1.667 6.188 3.191 -0.552 1.315 11.511" Properties=species:S:1:pos:R:3 pbc="T T T"
Ba 2.314 4.986 10.209
Ba 0.000 0.000 0.000
Ba 3.504 2.517 5.748
Ga 3.092 6.520 7.292
Ga 2.726 0.983 8.665
Pb 2.006 2.140 1.920
Pb 3.811 5.363 14.037
Pb 0.305 2.545 8.299
Pb 5.513 4.958 7.658
```

=====

Density functional theory data (GGA-PBE) for an optimized crystal structure of Na2SbCl.

Output
As for the final energy: -2.618 eV/atom. Its space group is Fm-3m (225). Its formation energy (no corrections) is -0.47 eV/atom. The value obtained for the density of states at the Fermi level is 2.5 states/eV per cell. The total magnetization is 2.00 Bohr magnetons per cell.

The structure in extended XYZ format:
```
4
Lattice="0.000 3.832 3.832 3.832 0.000 3.832 3.832 3.832 0.000" Properties=species:S:1:pos:R:3 pbc="T T T"
Sb 3.832 3.832 3.832
Na 1.916 1.916 1.916
Na 5.748 5.748 5.748
Cl 0.000 0.000 0.000
```

=====

Density functional theory data (GGA-PBE) for an optimized crystal structure of TaBe2CoRu.

Output
As for the final energy: -5.226 eV/atom. Its space group is P4/mmm (123). The value obtained for the density of states at the Fermi level is 6.4 states/eV per cell. The total magnetization is 0.75 Bohr magnetons per cell. The calculation puts the formation energy at 1.912 eV/atom.

The structure in extended XYZ format:
```
5
Lattice="-4.085 -1.656 0.417 0.451 -2.130 -4.037 1.651 -3.555 2.060" Properties=species:S:1:pos:R:3 pbc="T T T"
Ru 0.226 -1.065 -2.018
Co -0.992 -3.670 -0.780
Be 0.825 -1.777 1.030
Be -2.043 -0.828 0.208
Ta 0.000 0.000 0.000
```

=====

Density functional theory data (GGA-PBE) for an optimized crystal structure of PmHo2Tl3Te6.

Output
As for the final energy: -4.376 eV/atom. Its space group is C2/m (12). Its formation energy (no corrections) is -1.05 eV/atom. The total magnetization is 0.00 Bohr magnetons per cell.

The structure in extended XYZ format:
```
12
Lattice="-6.237 0.717 -4.539 -0.860 -1.008 7.633 2.507 8.208 0.055" Properties=species:S:1:pos:R:3 pbc="T T T"
Pm 0.000 0.000 0.000
Ho -2.651 -0.433 3.579
Ho -4.446 0.142 -0.486
Tl -0.491 3.380 5.659
Tl -4.099 4.537 -2.510
Tl -2.295 3.958 1.574
Te -4.327 6.516 0.317
Te -4.651 1.537 2.272
Te -0.263 1.401 2.831
Te -2.497 5.929 4.459
Te 0.061 6.380 0.877
Te -2.093 1.988 -1.311
```

=====

Density functional theory data (GGA-PBE) for an optimized crystal structure of CeTm2As.

Output
As for the final energy: -5.396 eV/atom. Its space group is P4/mmm (123). The value obtained for the density of states at the Fermi level is 5.1 states/eV per cell. The total magnetization is 0.32 Bohr magnetons per cell. The calculation puts the formation energy at -0.514 eV/atom.

The structure in extended XYZ format:
```
4
Lattice="3.663 0.000 0.000 0.000 3.663 0.000 0.000 0.000 7.473" Properties=species:S:1:pos:R:3 pbc="T T T"
As 1.831 1.831 0.000
Tm 0.000 0.000 5.925
Tm 0.000 0.000 1.547
Ce 1.831 1.831 3.736
```

=====

Density functional theory data (GGA-PBE) for an optimized crystal structure of Tm6Cd3Ag.

Output
As for the final energy: -3.449 eV/atom. Its space group is P2_1/m (11). The value obtained for the density of states at the Fermi level is 16.4 states/eV per cell. The total magnetization is 0.00 Bohr magnetons per cell. The calculation puts the formation energy at -0.207 eV/atom.

The structure in extended XYZ format:
```
20
Lattice="5.271 0.000 0.000 0.000 8.501 -3.007 0.000 -0.086 11.534" Properties=species:S:1:pos:R:3 pbc="T T T"
Tm 1.318 3.949 -0.423
Tm 3.953 4.467 8.949
Tm 1.318 1.123 1.428
Tm 3.953 7.293 7.098
Tm 1.318 5.627 5.755
Tm 3.953 2.788 2.772
Tm 1.318 2.024 4.967
Tm 3.953 6.391 3.559
Tm 1.318 7.176 1.054
Tm 3.953 1.240 7.472
Tm 1.318 0.764 9.681
Tm 3.953 7.652 -1.155
Cd 1.318 4.447 2.738
Cd 3.953 3.968 5.789
Cd 1.318 3.292 7.840
Cd 3.953 5.123 0.686
Cd 1.318 6.481 8.933
Cd 3.953 1.935 -0.406
Ag 1.318 8.035 3.987
Ag 3.953 0.381 4.540
```

=====

Density functional theory data (GGA-PBE) for an optimized crystal structure of ZrAlOsSe2.

Output
As for the final energy: -5.496 eV/atom. Its space group is P4/mmm (123). Its formation energy (no corrections) is 0.60 eV/atom. The value obtained for the density of states at the Fermi level is 5.4 states/eV per cell. The total magnetization is 0.00 Bohr magnetons per cell.

The structure in extended XYZ format:
```
5
Lattice="4.732 0.000 0.000 0.000 4.614 0.000 0.000 0.000 4.732" Properties=species:S:1:pos:R:3 pbc="T T T"
Os 0.000 2.307 0.000
Se 0.000 0.000 2.366
Se 2.366 0.000 0.000
Zr 2.366 2.307 2.366
Al 0.000 0.000 0.000
```

=====

Density functional theory data (GGA-PBE) for an optimized crystal structure of HfMnReCl2.

Output
As for the final energy: -6.160 eV/atom. Its space group is P4/mmm (123). Its formation energy (no corrections) is 0.89 eV/atom. The value obtained for the density of states at the Fermi level is 4.5 states/eV per cell. The total magnetization is 4.03 Bohr magnetons per cell.

The structure in extended XYZ format:
```
5
Lattice="-3.376 -0.946 -3.079 3.531 -2.471 -3.112 -0.877 -4.021 2.198" Properties=species:S:1:pos:R:3 pbc="T T T"
Re 0.000 0.000 0.000
Mn -0.361 -3.719 -1.997
Hf 1.766 -1.236 -1.556
Cl -0.439 -2.011 1.099
Cl -1.688 -0.473 -1.539
```

=====

Density functional theory data (GGA-PBE) for an optimized crystal structure of ZrTe2Ir.

Output
As for the final energy: -5.956 eV/atom. Its space group is P4/mmm (123). Its formation energy (no corrections) is -0.03 eV/atom. The value obtained for the density of states at the Fermi level is 3.4 states/eV per cell. The total magnetization is 0.00 Bohr magnetons per cell.

The structure in extended XYZ format:
```
4
Lattice="3.527 0.000 0.000 0.000 3.527 0.000 0.000 0.000 6.676" Properties=species:S:1:pos:R:3 pbc="T T T"
Ir 1.764 1.764 5.007
Te 0.000 0.000 6.644
Te 0.000 0.000 3.370
Zr 1.764 1.764 1.669
```

=====

Density functional theory data (GGA-PBE) for an optimized crystal structure of MgNpAl2.

Output
As for the final energy: -5.474 eV/atom. Its space group is R-3m (166). The value obtained for the density of states at the Fermi level is 3.6 states/eV per cell. The total magnetization is 2.98 Bohr magnetons per cell. The calculation puts the formation energy at 0.031 eV/atom.

The structure in extended XYZ format:
```
4
Lattice="-0.085 2.027 2.118 -1.616 -0.458 2.404 7.404 -3.867 6.027" Properties=species:S:1:pos:R:3 pbc="T T T"
Np 0.000 0.000 0.000
Mg 2.852 -1.149 5.275
Al 4.202 -1.682 7.869
Al 1.502 -0.616 2.680
```

=====

Please write out number 4 again, unchanged.
Density functional theory data (GGA-PBE) for an optimized crystal structure of Na2SbCl.

Output
As for the final energy: -2.618 eV/atom. Its space group is Fm-3m (225). Its formation energy (no corrections) is -0.47 eV/atom. The value obtained for the density of states at the Fermi level is 2.5 states/eV per cell. The total magnetization is 2.00 Bohr magnetons per cell.

The structure in extended XYZ format:
```
4
Lattice="0.000 3.832 3.832 3.832 0.000 3.832 3.832 3.832 0.000" Properties=species:S:1:pos:R:3 pbc="T T T"
Sb 3.832 3.832 3.832
Na 1.916 1.916 1.916
Na 5.748 5.748 5.748
Cl 0.000 0.000 0.000
```